*P*
# CdTc2Sn

An optimized crystal structure of CdTc2Sn (PBE-GGA, Alexandria).

```
data_CdTc2Sn
_chemical_formula_sum 'Cd2 Tc4 Sn2'
_cell_length_a 7.515
_cell_length_b 7.515
_cell_length_c 5.980
_cell_angle_alpha 51.07
_cell_angle_beta 51.07
_cell_angle_gamma 90.00
_symmetry_space_group_name_H-M 'P 1'
_symmetry_Int_Tables_number 1
_symmetry_space_group_name_Hall 'P 1'
loop_
_atom_site_label
_atom_site_fract_x
_atom_site_fract_y
_atom_site_fract_z
Tc1 0.639 0.125 0.250
Tc2 0.111 0.625 0.250
Tc3 0.375 0.361 0.750
Tc4 0.875 0.889 0.750
Sn1 0.000 0.000 0.000
Sn2 0.750 0.250 0.500
Cd1 0.500 0.500 0.000
Cd2 0.250 0.750 0.500
```

Calculated values
M_tot   3.54 μB per cell
DOS at the Fermi energy   8.111 states/eV per cell
Space-group type   I-42d (122)


*Q*
# CdTc2Sn

An optimized crystal structure of CdTc2Sn (PBE-GGA, Alexandria).

```
data_CdTc2Sn
_chemical_formula_sum 'Cd1 Tc2 Sn1'
_cell_length_a 4.609
_cell_length_b 4.609
_cell_length_c 4.609
_cell_angle_alpha 60.00
_cell_angle_beta 60.00
_cell_angle_gamma 60.00
_symmetry_space_group_name_H-M 'P 1'
_symmetry_Int_Tables_number 1
_symmetry_space_group_name_Hall 'P 1'
loop_
_atom_site_label
_atom_site_fract_x
_atom_site_fract_y
_atom_site_fract_z
Tc1 0.250 0.250 0.250
Tc2 0.750 0.750 0.750
Sn1 0.500 0.500 0.500
Cd1 0.000 0.000 0.000
```

Calculated values
M_tot   2.18 μB per cell
DOS at the Fermi energy   3.977 states/eV per cell
Space-group type   Fm-3m (225)


Energies, relative to the best one, in kJ/mol of atoms: *P* 41.9; *Q* 0.0.


*P*
# CdSn2Te

An optimized crystal structure of CdSn2Te (PBE-GGA, Alexandria).

```
data_CdSn2Te
_chemical_formula_sum 'Cd2 Sn4 Te2'
_cell_length_a 6.677
_cell_length_b 6.677
_cell_length_c 8.289
_cell_angle_alpha 66.25
_cell_angle_beta 66.25
_cell_angle_gamma 90.00
_symmetry_space_group_name_H-M 'P 1'
_symmetry_Int_Tables_number 1
_symmetry_space_group_name_Hall 'P 1'
loop_
_atom_site_label
_atom_site_fract_x
_atom_site_fract_y
_atom_site_fract_z
Te1 0.000 0.000 0.000
Te2 0.750 0.250 0.500
Sn1 0.603 0.125 0.250
Sn2 0.147 0.625 0.250
Sn3 0.375 0.397 0.750
Sn4 0.875 0.853 0.750
Cd1 0.500 0.500 0.000
Cd2 0.250 0.750 0.500
```

Calculated values
M_tot   0.00 μB per cell
DOS at the Fermi energy   0.050 states/eV per cell
Space-group type   I-42d (122)


*Q*
# CdSn2Te

An optimized crystal structure of CdSn2Te (PBE-GGA, Alexandria).

```
data_CdSn2Te
_chemical_formula_sum 'Cd1 Sn2 Te1'
_cell_length_a 5.415
_cell_length_b 5.415
_cell_length_c 5.415
_cell_angle_alpha 60.00
_cell_angle_beta 60.00
_cell_angle_gamma 60.00
_symmetry_space_group_name_H-M 'P 1'
_symmetry_Int_Tables_number 1
_symmetry_space_group_name_Hall 'P 1'
loop_
_atom_site_label
_atom_site_fract_x
_atom_site_fract_y
_atom_site_fract_z
Te1 0.500 0.500 0.500
Sn1 0.250 0.250 0.250
Sn2 0.750 0.750 0.750
Cd1 0.000 0.000 0.000
```

Calculated values
M_tot   0.00 μB per cell
DOS at the Fermi energy   2.823 states/eV per cell
Space-group type   Fm-3m (225)


Energies, relative to the best one, in kJ/mol of atoms: *P* 0.0; *Q* 2.5.


*P*
# Cd2SnTe

An optimized crystal structure of Cd2SnTe (PBE-GGA, Alexandria).

```
data_Cd2SnTe
_chemical_formula_sum 'Cd2 Sn1 Te1'
_cell_length_a 5.325
_cell_length_b 5.325
_cell_length_c 5.325
_cell_angle_alpha 60.00
_cell_angle_beta 60.00
_cell_angle_gamma 60.00
_symmetry_space_group_name_H-M 'P 1'
_symmetry_Int_Tables_number 1
_symmetry_space_group_name_Hall 'P 1'
loop_
_atom_site_label
_atom_site_fract_x
_atom_site_fract_y
_atom_site_fract_z
Te1 0.500 0.500 0.500
Sn1 0.000 0.000 0.000
Cd1 0.250 0.250 0.250
Cd2 0.750 0.750 0.750
```

Calculated values
M_tot   0.00 μB per cell
DOS at the Fermi energy   3.936 states/eV per cell
Space-group type   Fm-3m (225)


*Q*
# Cd2SnTe

An optimized crystal structure of Cd2SnTe (PBE-GGA, Alexandria).

```
data_Cd2SnTe
_chemical_formula_sum 'Cd4 Sn2 Te2'
_cell_length_a 7.007
_cell_length_b 7.007
_cell_length_c 7.644
_cell_angle_alpha 62.72
_cell_angle_beta 62.72
_cell_angle_gamma 90.00
_symmetry_space_group_name_H-M 'P 1'
_symmetry_Int_Tables_number 1
_symmetry_space_group_name_Hall 'P 1'
loop_
_atom_site_label
_atom_site_fract_x
_atom_site_fract_y
_atom_site_fract_z
Te1 0.000 0.000 0.000
Te2 0.750 0.250 0.500
Sn1 0.500 0.500 0.000
Sn2 0.250 0.750 0.500
Cd1 0.626 0.125 0.250
Cd2 0.124 0.625 0.250
Cd3 0.375 0.374 0.750
Cd4 0.875 0.876 0.750
```

Calculated values
M_tot   0.00 μB per cell
DOS at the Fermi energy   0.811 states/eV per cell
Space-group type   I-42d (122)


Energies, relative to the best one, in kJ/mol of atoms: *P* 12.0; *Q* 0.0.


*P*
# Cd2Sn2Te

An optimized crystal structure of Cd2Sn2Te (PBE-GGA, Alexandria).

```
data_Cd2Sn2Te
_chemical_formula_sum 'Cd4 Sn4 Te2'
_cell_length_a 9.203
_cell_length_b 9.203
_cell_length_c 3.190
_cell_angle_alpha 90.00
_cell_angle_beta 90.00
_cell_angle_gamma 90.00
_symmetry_space_group_name_H-M 'P 1'
_symmetry_Int_Tables_number 1
_symmetry_space_group_name_Hall 'P 1'
loop_
_atom_site_label
_atom_site_fract_x
_atom_site_fract_y
_atom_site_fract_z
Te1 0.000 0.000 0.000
Te2 0.500 0.500 0.000
Sn1 0.134 0.634 0.500
Sn2 0.634 0.866 0.500
Sn3 0.866 0.366 0.500
Sn4 0.366 0.134 0.500
Cd1 0.335 0.835 0.000
Cd2 0.835 0.665 0.000
Cd3 0.665 0.165 0.000
Cd4 0.165 0.335 0.000
```

Calculated values
M_tot   0.00 μB per cell
DOS at the Fermi energy   4.587 states/eV per cell
Space-group type   P4/mbm (127)


*Q*
# Cd2Sn2Te

An optimized crystal structure of Cd2Sn2Te (PBE-GGA, Alexandria).

```
data_Cd2Sn2Te
_chemical_formula_sum 'Cd4 Sn4 Te2'
_cell_length_a 9.256
_cell_length_b 9.256
_cell_length_c 3.229
_cell_angle_alpha 90.00
_cell_angle_beta 90.00
_cell_angle_gamma 90.00
_symmetry_space_group_name_H-M 'P 1'
_symmetry_Int_Tables_number 1
_symmetry_space_group_name_Hall 'P 1'
loop_
_atom_site_label
_atom_site_fract_x
_atom_site_fract_y
_atom_site_fract_z
Te1 0.000 0.000 0.000
Te2 0.500 0.500 0.000
Sn1 0.316 0.816 0.000
Sn2 0.816 0.684 0.000
Sn3 0.684 0.184 0.000
Sn4 0.184 0.316 0.000
Cd1 0.117 0.617 0.500
Cd2 0.617 0.883 0.500
Cd3 0.883 0.383 0.500
Cd4 0.383 0.117 0.500
```

Calculated values
M_tot   0.00 μB per cell
DOS at the Fermi energy   4.056 states/eV per cell
Space-group type   P4/mbm (127)


*R*
# Cd2Sn2Te

An optimized crystal structure of Cd2Sn2Te (PBE-GGA, Alexandria).

```
data_Cd2Sn2Te
_chemical_formula_sum 'Cd2 Sn2 Te1'
_cell_length_a 4.192
_cell_length_b 4.192
_cell_length_c 8.631
_cell_angle_alpha 75.95
_cell_angle_beta 75.95
_cell_angle_gamma 90.00
_symmetry_space_group_name_H-M 'P 1'
_symmetry_Int_Tables_number 1
_symmetry_space_group_name_Hall 'P 1'
loop_
_atom_site_label
_atom_site_fract_x
_atom_site_fract_y
_atom_site_fract_z
Te1 0.000 0.000 0.000
Sn1 0.404 0.404 0.192
Sn2 0.596 0.596 0.808
Cd1 0.750 0.250 0.500
Cd2 0.250 0.750 0.500
```

Calculated values
M_tot   0.00 μB per cell
DOS at the Fermi energy   3.377 states/eV per cell
Space-group type   I4/mmm (139)


Energies, relative to the best one, in kJ/mol of atoms: *P* 1.2; *Q* 0.0; *R* 2.0.


*P*
# Tl2CdSnTe4

An optimized crystal structure of Tl2CdSnTe4 (PBE-GGA, Alexandria).

```
data_Tl2CdSnTe4
_chemical_formula_sum 'Tl4 Cd2 Sn2 Te8'
_cell_length_a 7.272
_cell_length_b 10.328
_cell_length_c 9.025
_cell_angle_alpha 90.00
_cell_angle_beta 90.00
_cell_angle_gamma 90.00
_symmetry_space_group_name_H-M 'P 1'
_symmetry_Int_Tables_number 1
_symmetry_space_group_name_Hall 'P 1'
loop_
_atom_site_label
_atom_site_fract_x
_atom_site_fract_y
_atom_site_fract_z
Tl1 0.449 0.340 0.268
Tl2 0.449 0.340 0.732
Tl3 0.949 0.660 0.768
Tl4 0.949 0.660 0.232
Cd1 0.993 0.131 0.500
Cd2 0.493 0.869 0.000
Sn1 0.510 0.850 0.500
Sn2 0.010 0.150 0.000
Te1 0.395 0.137 0.000
Te2 0.895 0.863 0.500
Te3 0.389 0.105 0.500
Te4 0.889 0.895 0.000
Te5 0.407 0.705 0.749
Te6 0.907 0.295 0.249
Te7 0.907 0.295 0.751
Te8 0.407 0.705 0.251
```

Calculated values
M_tot   0.00 μB per cell
Space-group type   Pmn2_1 (31)


*Q*
# Tl2CdSnTe4

An optimized crystal structure of Tl2CdSnTe4 (PBE-GGA, Alexandria).

```
data_Tl2CdSnTe4
_chemical_formula_sum 'Tl2 Cd1 Sn1 Te4'
_cell_length_a 7.122
_cell_length_b 7.122
_cell_length_c 7.122
_cell_angle_alpha 105.21
_cell_angle_beta 105.21
_cell_angle_gamma 118.38
_symmetry_space_group_name_H-M 'P 1'
_symmetry_Int_Tables_number 1
_symmetry_space_group_name_Hall 'P 1'
loop_
_atom_site_label
_atom_site_fract_x
_atom_site_fract_y
_atom_site_fract_z
Tl1 0.000 0.500 0.500
Tl2 0.500 0.000 0.500
Cd1 0.500 0.500 0.000
Sn1 0.000 0.000 0.000
Te1 0.060 0.420 0.000
Te2 0.580 0.580 0.640
Te3 0.940 0.940 0.360
Te4 0.420 0.060 0.000
```

Calculated values
M_tot   0.00 μB per cell
Space-group type   I-42m (121)


Energies, relative to the best one, in kJ/mol of atoms: *P* 5.2; *Q* 0.0.


*P*
# ThCdSn2

An optimized crystal structure of ThCdSn2 (PBE-GGA, Alexandria).

```
data_ThCdSn2
_chemical_formula_sum 'Th1 Cd1 Sn2'
_cell_length_a 5.006
_cell_length_b 5.006
_cell_length_c 5.809
_cell_angle_alpha 64.47
_cell_angle_beta 64.47
_cell_angle_gamma 60.00
_symmetry_space_group_name_H-M 'P 1'
_symmetry_Int_Tables_number 1
_symmetry_space_group_name_Hall 'P 1'
loop_
_atom_site_label
_atom_site_fract_x
_atom_site_fract_y
_atom_site_fract_z
Sn1 0.769 0.769 0.692
Sn2 0.231 0.231 0.308
Th1 0.000 0.000 0.000
Cd1 0.500 0.500 0.500
```

Calculated values
M_tot   0.00 μB per cell
DOS at the Fermi energy   4.137 states/eV per cell
Space-group type   R-3m (166)


*Q*
# ThCdSn2

An optimized crystal structure of ThCdSn2 (PBE-GGA, Alexandria).

```
data_ThCdSn2
_chemical_formula_sum 'Th1 Cd1 Sn2'
_cell_length_a 4.504
_cell_length_b 4.851
_cell_length_c 4.851
_cell_angle_alpha 90.00
_cell_angle_beta 90.00
_cell_angle_gamma 90.00
_symmetry_space_group_name_H-M 'P 1'
_symmetry_Int_Tables_number 1
_symmetry_space_group_name_Hall 'P 1'
loop_
_atom_site_label
_atom_site_fract_x
_atom_site_fract_y
_atom_site_fract_z
Sn1 0.000 0.000 0.500
Sn2 0.000 0.500 0.000
Th1 0.500 0.500 0.500
Cd1 0.500 0.000 0.000
```

Calculated values
M_tot   0.00 μB per cell
DOS at the Fermi energy   2.751 states/eV per cell
Space-group type   P4/mmm (123)


*R*
# ThCdSn2

An optimized crystal structure of ThCdSn2 (PBE-GGA, Alexandria).

```
data_ThCdSn2
_chemical_formula_sum 'Th1 Cd1 Sn2'
_cell_length_a 3.921
_cell_length_b 3.921
_cell_length_c 6.977
_cell_angle_alpha 90.00
_cell_angle_beta 90.00
_cell_angle_gamma 90.00
_symmetry_space_group_name_H-M 'P 1'
_symmetry_Int_Tables_number 1
_symmetry_space_group_name_Hall 'P 1'
loop_
_atom_site_label
_atom_site_fract_x
_atom_site_fract_y
_atom_site_fract_z
Sn1 0.000 0.000 0.781
Sn2 0.000 0.000 0.219
Th1 0.500 0.500 0.500
Cd1 0.500 0.500 0.000
```

Calculated values
M_tot   0.00 μB per cell
DOS at the Fermi energy   2.600 states/eV per cell
Space-group type   P4/mmm (123)


Energies, relative to the best one, in kJ/mol of atoms: *P* 24.9; *Q* 0.0; *R* 18.1.